Record 1
The following is a DFT calculation (GGA-PBE) of crystalline ReGe at its relaxed geometry.

Computed properties:
Crystal system: monoclinic
Size of the total moment: 0.00 μB/f.u.
ΔH_f (0 K): 549.0 meV per atom
N(E_F): 2.572 states/eV/cell
SG: P2_1/m

Unit cell a=2.7665 b=4.2762 c=6.2776 alpha=90.00 beta=98.74 gamma=90.00
Closest atoms and distances in Å follow each position.
Element x y z (fractional)
Ge: 0.1042 0.7500 0.1798  4 Re 2.65-2.84, 2 Ge 2.77
Re: 0.7774 0.7500 0.5694  4 Ge 2.65-2.84, 6 Re 2.68-2.77
Ge: 0.8958 0.2500 0.8202  4 Re 2.65-2.84, 2 Ge 2.77
Re: 0.2226 0.2500 0.4306  4 Ge 2.65-2.84, 6 Re 2.68-2.77



Record 2
The following is a DFT calculation (GGA-PBE) of crystalline SbAs3Ru at its relaxed geometry.

Computed properties:
Crystal system: cubic
Size of the total moment: 0.00 μB/f.u.
E_form (uncorrected): 2.21 eV/f.u.
N(E_F): 3.859 states/eV/cell
SG: Pm-3m

Unit cell a=4.8193 b=4.8193 c=4.8193 alpha=90.00 beta=90.00 gamma=90.00
Closest atoms and distances in Å follow each position.
Element x y z (fractional)
Sb: 0.5000 0.5000 0.5000  12 As 3.41
As: 0.0000 0.5000 0.0000  2 Ru 2.41
Ru: 0.0000 0.0000 0.0000  6 As 2.41
As: 0.5000 0.0000 0.0000  2 Ru 2.41
As: 0.0000 0.0000 0.5000  2 Ru 2.41



Q: What is the N(E_F) in the first record?
A: 2.572 states/eV/cell



What did the first record say?
The following is a DFT calculation (GGA-PBE) of crystalline ReGe at its relaxed geometry.

Computed properties:
Crystal system: monoclinic
Size of the total moment: 0.00 μB/f.u.
ΔH_f (0 K): 549.0 meV per atom
N(E_F): 2.572 states/eV/cell
SG: P2_1/m

Unit cell a=2.7665 b=4.2762 c=6.2776 alpha=90.00 beta=98.74 gamma=90.00
Closest atoms and distances in Å follow each position.
Element x y z (fractional)
Ge: 0.1042 0.7500 0.1798  4 Re 2.65-2.84, 2 Ge 2.77
Re: 0.7774 0.7500 0.5694  4 Ge 2.65-2.84, 6 Re 2.68-2.77
Ge: 0.8958 0.2500 0.8202  4 Re 2.65-2.84, 2 Ge 2.77
Re: 0.2226 0.2500 0.4306  4 Ge 2.65-2.84, 6 Re 2.68-2.77



Please write out number 1 again, unchanged.
The following is a DFT calculation (GGA-PBE) of crystalline ReGe at its relaxed geometry.

Computed properties:
Crystal system: monoclinic
Size of the total moment: 0.00 μB/f.u.
ΔH_f (0 K): 549.0 meV per atom
N(E_F): 2.572 states/eV/cell
SG: P2_1/m

Unit cell a=2.7665 b=4.2762 c=6.2776 alpha=90.00 beta=98.74 gamma=90.00
Closest atoms and distances in Å follow each position.
Element x y z (fractional)
Ge: 0.1042 0.7500 0.1798  4 Re 2.65-2.84, 2 Ge 2.77
Re: 0.7774 0.7500 0.5694  4 Ge 2.65-2.84, 6 Re 2.68-2.77
Ge: 0.8958 0.2500 0.8202  4 Re 2.65-2.84, 2 Ge 2.77
Re: 0.2226 0.2500 0.4306  4 Ge 2.65-2.84, 6 Re 2.68-2.77



Q: Which value of size of the total moment does entry 2 give?
A: 0.00 μB/f.u.